{"formula": "TeAs2Ir", "functional": "PBE-GGA", "state": "optimized geometry", "crystal_system": "tetragonal", "sg": "I-4m2, No. 119", "raw_formation_energy_ev_per_atom": 0.50, "magnetic_moment_mub_per_cell": 0.00, "cell": [[4.752, 0.014, 0.000], [0.011, 4.752, 0.000], [-2.381, -2.383, 3.352]], "species": ["As", "As", "Ir", "Te"], "frac_coords": [[0.000, 0.000, 0.000], [0.250, 0.750, 0.500], [0.500, 0.500, 0.000], [0.750, 0.250, 0.500]]}


{"formula": "YSiH", "functional": "PBE-GGA", "state": "optimized geometry", "crystal_system": "orthorhombic", "dft_energy_ev_per_cell": -34.82, "sg": "Cmcm, No. 63", "magnetic_moment_mub_per_cell": 0.00, "cell": [[6.087, 0.013, 0.000], [-4.773, 3.779, 0.000], [0.000, 0.000, 3.879]], "species": ["Y", "Y", "H", "H", "Si", "Si"], "frac_coords": [[0.853, 0.147, 0.250], [0.147, 0.853, 0.750], [0.254, 0.746, 0.250], [0.746, 0.254, 0.750], [0.559, 0.441, 0.250], [0.441, 0.559, 0.750]]}


{"formula": "PaGeAu2", "functional": "PBE-GGA", "state": "optimized geometry", "crystal_system": "cubic", "sg": "Fm-3m, No. 225", "magnetic_moment_mub_per_cell": 0.00, "delta_e_f_ev_per_atom": -0.3081, "cell": [[-4.898, 0.062, 0.328], [-2.615, -3.843, -1.581], [-2.281, -2.912, 3.228]], "species": ["Ge", "Pa", "Au", "Au"], "frac_coords": [[0.500, 0.500, 0.500], [0.000, 0.000, 0.000], [0.250, 0.250, 0.250], [0.750, 0.750, 0.750]]}


What did the second record say?
{"formula": "YSiH", "functional": "PBE-GGA", "state": "optimized geometry", "crystal_system": "orthorhombic", "dft_energy_ev_per_cell": -34.82, "sg": "Cmcm, No. 63", "magnetic_moment_mub_per_cell": 0.00, "cell": [[6.087, 0.013, 0.000], [-4.773, 3.779, 0.000], [0.000, 0.000, 3.879]], "species": ["Y", "Y", "H", "H", "Si", "Si"], "frac_coords": [[0.853, 0.147, 0.250], [0.147, 0.853, 0.750], [0.254, 0.746, 0.250], [0.746, 0.254, 0.750], [0.559, 0.441, 0.250], [0.441, 0.559, 0.750]]}


Which formula does entry 3 have? PaGeAu2